#a
! Ba2Al2Pt GGA-PBE relaxed; values from VASP
&SYSTEM
  ibrav = 0, nat = 5, ntyp = 3
/
ATOMIC_SPECIES
Ba 137.33 Ba.upf
Al 26.98 Al.upf
Pt 195.08 Pt.upf
ATOMIC_POSITIONS angstrom
Ba -2.497 8.301 1.994
Ba -3.804 4.172 1.408
Al -4.140 11.204 2.814
Al -2.161 1.269 0.588
Pt 0.000 0.000 0.000
CELL_PARAMETERS angstrom
-3.858 1.412 -1.342
-3.191 0.606 2.851
0.748 10.455 1.892
! Magnetic moment (μB/f.u.): 0.7

---

#b
! Ba2Al2Pt GGA-PBE relaxed; values from VASP
&SYSTEM
  ibrav = 0, nat = 10, ntyp = 3
/
ATOMIC_SPECIES
Ba 137.33 Ba.upf
Pt 195.08 Pt.upf
Al 26.98 Al.upf
ATOMIC_POSITIONS angstrom
Ba 4.943 -2.290 1.286
Ba 5.775 -5.282 -0.459
Ba 2.344 -6.237 -0.459
Ba 1.512 -3.245 1.286
Pt 0.000 0.000 0.000
Pt 3.269 -2.919 -2.072
Al 5.711 -1.965 -1.923
Al 4.170 -5.028 -3.349
Al 0.827 -3.872 -2.220
Al 2.368 -0.809 -0.794
CELL_PARAMETERS angstrom
-0.253 -6.041 -3.231
6.791 0.204 -0.912
0.748 -2.690 4.970
! Magnetic moment (μB/f.u.): 0.0

---

Result of the stability comparison: #a is the most stable of them.

---

#a
! BaAl3Pt3 GGA-PBE relaxed; values from VASP
&SYSTEM
  ibrav = 0, nat = 14, ntyp = 3
/
ATOMIC_SPECIES
Ba 137.33 Ba.upf
Pt 195.08 Pt.upf
Al 26.98 Al.upf
ATOMIC_POSITIONS angstrom
Ba 4.021 -3.256 3.023
Ba 0.000 0.000 0.000
Pt 3.824 -0.442 0.377
Pt 5.144 -3.463 -0.673
Pt 4.283 0.299 4.524
Pt 0.625 -4.977 3.706
Pt 1.119 -0.770 3.622
Pt 1.088 -3.673 0.536
Al 2.933 0.417 2.487
Al 2.902 -2.487 -0.599
Al 1.516 -5.836 1.596
Al 2.470 -0.888 5.658
Al 6.066 -1.418 0.303
Al 0.197 -2.815 2.646
CELL_PARAMETERS angstrom
-0.926 -2.608 6.342
2.639 -6.042 -2.100
6.329 2.137 1.804
! Magnetic moment (μB/f.u.): 0.0

---

#b
! BaAl3Pt3 GGA-PBE relaxed; values from VASP
&SYSTEM
  ibrav = 0, nat = 14, ntyp = 3
/
ATOMIC_SPECIES
Ba 137.33 Ba.upf
Al 26.98 Al.upf
Pt 195.08 Pt.upf
ATOMIC_POSITIONS angstrom
Ba 6.807 3.930 7.577
Ba 6.807 3.930 0.112
Al 8.342 5.505 4.757
Al 7.403 1.813 4.757
Al 4.675 4.472 4.757
Al 8.938 3.388 2.932
Al 6.211 6.047 2.932
Al 5.272 2.355 2.932
Pt 4.280 4.510 2.258
Pt 7.568 1.451 2.258
Pt 8.573 5.829 2.258
Pt 5.041 2.031 5.432
Pt 6.045 6.408 5.432
Pt 9.334 3.350 5.432
CELL_PARAMETERS angstrom
6.807 0.000 0.000
3.403 5.895 0.000
3.403 1.965 7.689
! Magnetic moment (μB/f.u.): 0.0

---

Result of the stability comparison: #b is the most stable of them.